Here is a geometry-optimized YAu structure from Alexandria via LeMat-Bulk. Energies are from PBE.

Geometry as POSCAR:
```
YAu
1.0
-5.2712 5.2712 2.0585
5.2712 -5.2712 2.0585
5.2712 5.2712 -2.0585
Y Au
4 4
direct
0.1415 0.6473 0.7888
0.3527 0.1415 0.4942
0.6473 0.8585 0.5058
0.8585 0.3527 0.2112
0.3246 0.4279 0.7525
0.4279 0.6754 0.1032
0.5721 0.3246 0.8968
0.6754 0.5721 0.2475
```

Properties
Final energy (Ha/atom): -0.19664
N(E_F) (states/eV/atom): 0.809
V (Å³/cell): 229
DFT formation energy (eV per atom): -0.480

=====

Here is a geometry-optimized YAu structure from Alexandria via LeMat-Bulk. Energies are from PBE.

Geometry as POSCAR:
```
YAu
1.0
5.0827 0.0000 0.0000
-2.5413 4.4017 0.0000
0.0000 0.0000 8.3609
Y Au
4 4
direct
0.0000 0.0000 0.2500
0.0000 0.0000 0.7500
0.3333 0.6667 0.2500
0.6667 0.3333 0.7500
0.3333 0.6667 0.5843
0.3333 0.6667 0.9157
0.6667 0.3333 0.0843
0.6667 0.3333 0.4157
```

Properties
Final energy (Ha/atom): -0.18750
N(E_F) (states/eV/atom): 0.307
V (Å³/cell): 187
DFT formation energy (eV per atom): -0.231

=====

Here is a geometry-optimized YAu2 structure from Alexandria via LeMat-Bulk. Energies are from PBE.

Geometry as POSCAR:
```
YAu2
1.0
2.3237 -4.7110 0.0000
2.3237 4.7110 0.0000
0.0000 0.0000 5.9639
Y Au
2 4
direct
0.1875 0.8125 0.7500
0.8125 0.1875 0.2500
0.1262 0.8738 0.2500
0.5000 0.5000 0.0000
0.5000 0.5000 0.5000
0.8738 0.1262 0.7500
```

Properties
Final energy (Ha/atom): -0.18837
N(E_F) (states/eV/atom): 0.522
V (Å³/cell): 131
DFT formation energy (eV per atom): -0.786

=====

Here is a geometry-optimized Y5Au3 structure from Alexandria via LeMat-Bulk. Energies are from PBE.

Geometry as POSCAR:
```
Y5Au3
1.0
3.8341 -5.3656 0.0000
3.8341 5.3656 0.0000
0.0000 0.0000 4.9974
Y Au
5 3
direct
0.0000 0.0000 0.0000
0.0000 0.5000 0.0000
0.2856 0.2856 0.5000
0.5000 0.0000 0.0000
0.7144 0.7144 0.5000
0.1957 0.8043 0.5000
0.5000 0.5000 0.0000
0.8043 0.1957 0.5000
```

Properties
Final energy (Ha/atom): -0.21348
N(E_F) (states/eV/atom): 1.102
V (Å³/cell): 206
DFT formation energy (eV per atom): -0.540

=====

Here is a geometry-optimized Y3Au structure from Alexandria via LeMat-Bulk. Energies are from PBE.

Geometry as POSCAR:
```
Y3Au
1.0
5.1821 2.9919 1.1636
-5.1821 2.9919 1.1636
0.0000 -5.9838 1.1636
Y Au
3 1
direct
0.0000 0.5000 0.5000
0.5000 0.0000 0.5000
0.5000 0.5000 0.0000
0.0000 0.0000 0.0000
```

Properties
Final energy (Ha/atom): -0.21272
N(E_F) (states/eV/atom): 1.407
V (Å³/cell): 108
DFT formation energy (eV per atom): -0.121

=====

Here is a geometry-optimized YAu4 structure from Alexandria via LeMat-Bulk. Energies are from PBE.

Geometry as POSCAR:
```
YAu4
1.0
5.4205 0.0000 0.0000
0.0000 5.4205 0.0000
0.0000 0.0000 5.4205
Y Au
1 4
direct
0.0000 0.0000 0.0000
0.0000 0.0000 0.5000
0.0000 0.5000 0.0000
0.5000 0.0000 0.0000
0.5000 0.5000 0.5000
```

Properties
Final energy (Ha/atom): -0.11953
N(E_F) (states/eV/atom): 0.386
V (Å³/cell): 159
DFT formation energy (eV per atom): 0.662

=====

Here is a geometry-optimized Y3Au structure from Alexandria via LeMat-Bulk. Energies are from PBE.

Geometry as POSCAR:
```
Y3Au
1.0
1.8552 1.0711 9.9961
-1.8552 1.0711 9.9961
0.0000 -2.1422 9.9961
Y Au
3 1
direct
0.0000 0.0000 0.0000
0.2362 0.2362 0.2362
0.7638 0.7638 0.7638
0.5000 0.5000 0.5000
```

Properties
Final energy (Ha/atom): -0.21844
N(E_F) (states/eV/atom): 1.406
V (Å³/cell): 119
DFT formation energy (eV per atom): -0.277

=====

Here is a geometry-optimized Y3Au2 structure from Alexandria via LeMat-Bulk. Energies are from PBE.

Geometry as POSCAR:
```
Y3Au2
1.0
0.0000 7.6067 3.1725
5.1869 0.0000 3.1725
5.1869 7.6067 0.0000
Y Au
6 4
direct
0.0000 0.0000 0.0000
0.2500 0.2500 0.2500
0.3444 0.6377 0.4452
0.6377 0.3444 0.5726
0.6774 0.8048 0.6123
0.8048 0.6774 0.9056
0.1119 0.4521 0.9897
0.2603 0.8037 0.1381
0.4521 0.1119 0.4463
0.8037 0.2603 0.7979
```

Properties
Final energy (Ha/atom): -0.20960
N(E_F) (states/eV/atom): 1.181
V (Å³/cell): 250
DFT formation energy (eV per atom): -0.514

=====

Here is a geometry-optimized Y2Au3 structure from Alexandria via LeMat-Bulk. Energies are from PBE.

Geometry as POSCAR:
```
Y2Au3
1.0
0.0000 7.4119 2.9781
5.1653 0.0000 2.9781
5.1653 7.4119 0.0000
Y Au
4 6
direct
0.1204 0.8796 0.2741
0.5241 0.9759 0.3704
0.8796 0.1204 0.7259
0.9759 0.5241 0.1296
0.1283 0.1283 0.8717
0.3783 0.3783 0.1217
0.4592 0.5704 0.3030
0.5704 0.4592 0.6673
0.5827 0.9470 0.6796
0.9470 0.5827 0.7908
```

Properties
Final energy (Ha/atom): -0.19519
N(E_F) (states/eV/atom): 0.753
V (Å³/cell): 228
DFT formation energy (eV per atom): -0.759

=====

Here is a geometry-optimized Y2Au3 structure from Alexandria via LeMat-Bulk. Energies are from PBE.

Geometry as POSCAR:
```
Y2Au3
1.0
2.3349 1.3480 6.3702
-2.3349 1.3480 6.3702
0.0000 -2.6961 6.3702
Y Au
2 3
direct
0.0891 0.0891 0.0891
0.9109 0.9109 0.9109
0.3327 0.3327 0.3327
0.5000 0.5000 0.5000
0.6673 0.6673 0.6673
```

Properties
Final energy (Ha/atom): -0.19309
N(E_F) (states/eV/atom): 1.000
V (Å³/cell): 120
DFT formation energy (eV per atom): -0.702

=====

Here is a geometry-optimized YAu structure from Alexandria via LeMat-Bulk. Energies are from PBE.

Geometry as POSCAR:
```
YAu
1.0
8.0777 0.0000 0.0000
-4.0388 6.9955 0.0000
0.0000 0.0000 5.6233
Y Au
6 6
direct
0.0954 0.7672 0.2500
0.2328 0.3282 0.2500
0.3282 0.0954 0.7500
0.6718 0.9046 0.2500
0.7672 0.6718 0.7500
0.9046 0.2328 0.7500
0.1280 0.6667 0.7500
0.3333 0.4613 0.7500
0.4613 0.1280 0.2500
0.5387 0.8720 0.7500
0.6667 0.5387 0.2500
0.8720 0.3333 0.2500
```

Properties
Final energy (Ha/atom): -0.20286
N(E_F) (states/eV/atom): 0.728
V (Å³/cell): 318
DFT formation energy (eV per atom): -0.649

=====

Here is a geometry-optimized YAu structure from Alexandria via LeMat-Bulk. Energies are from PBE.

Geometry as POSCAR:
```
YAu
1.0
4.8147 0.0000 0.0000
-2.4074 4.1697 0.0000
0.0000 0.0000 9.6931
Y Au
4 4
direct
0.3333 0.6667 0.0973
0.3333 0.6667 0.4027
0.6667 0.3333 0.5973
0.6667 0.3333 0.9027
0.0000 0.0000 0.2500
0.0000 0.0000 0.7500
0.3333 0.6667 0.7500
0.6667 0.3333 0.2500
```

Properties
Final energy (Ha/atom): -0.19590
N(E_F) (states/eV/atom): 1.204
V (Å³/cell): 195
DFT formation energy (eV per atom): -0.460

=====

Here is a geometry-optimized YAu2 structure from Alexandria via LeMat-Bulk. Energies are from PBE.

Geometry as POSCAR:
```
YAu2
1.0
-2.1702 2.1702 14.0656
2.1702 -2.1702 14.0656
2.1702 2.1702 -14.0656
Y Au
4 8
direct
0.3006 0.5506 0.7500
0.4494 0.6994 0.7500
0.5506 0.3006 0.2500
0.6994 0.4494 0.2500
0.0353 0.7853 0.2500
0.1267 0.3767 0.7500
0.2147 0.9647 0.2500
0.3767 0.1267 0.2500
0.6233 0.8733 0.7500
0.7853 0.0353 0.7500
0.8733 0.6233 0.2500
0.9647 0.2147 0.7500
```

Properties
Final energy (Ha/atom): -0.18226
N(E_F) (states/eV/atom): 0.572
V (Å³/cell): 265
DFT formation energy (eV per atom): -0.620

=====

Here is a geometry-optimized YAu2 structure from Alexandria via LeMat-Bulk. Energies are from PBE.

Geometry as POSCAR:
```
YAu2
1.0
0.0000 3.3998 3.3998
3.3998 0.0000 3.3998
3.3998 3.3998 0.0000
Y Au
1 2
direct
0.0000 0.0000 0.0000
0.2500 0.2500 0.2500
0.7500 0.7500 0.7500
```

Properties
Final energy (Ha/atom): -0.17875
N(E_F) (states/eV/atom): 0.889
V (Å³/cell): 79
DFT formation energy (eV per atom): -0.524

=====

Here is a geometry-optimized Y3Au2 structure from Alexandria via LeMat-Bulk. Energies are from PBE.

Geometry as POSCAR:
```
Y3Au2
1.0
5.0242 0.0000 0.0000
-2.5121 4.3511 0.0000
0.0000 0.0000 6.2057
Y Au
3 2
direct
0.0000 0.0000 0.0000
0.3333 0.6667 0.3336
0.6667 0.3333 0.6664
0.3333 0.6667 0.8139
0.6667 0.3333 0.1861
```

Properties
Final energy (Ha/atom): -0.21345
N(E_F) (states/eV/atom): 0.985
V (Å³/cell): 136
DFT formation energy (eV per atom): -0.619

=====

Here is a geometry-optimized YAu structure from Alexandria via LeMat-Bulk. Energies are from PBE.

Geometry as POSCAR:
```
YAu
1.0
1.8608 -5.5215 0.0000
1.8608 5.5215 0.0000
0.0000 0.0000 4.7101
Y Au
2 2
direct
0.1390 0.8610 0.7500
0.8610 0.1390 0.2500
0.4123 0.5877 0.7500
0.5877 0.4123 0.2500
```

Properties
Final energy (Ha/atom): -0.21148
N(E_F) (states/eV/atom): 0.734
V (Å³/cell): 97
DFT formation energy (eV per atom): -0.884

=====

Here is a geometry-optimized Y4Au3 structure from Alexandria via LeMat-Bulk. Energies are from PBE.

Geometry as POSCAR:
```
Y4Au3
1.0
5.7704 0.0000 0.0000
-2.8852 4.9973 0.0000
0.0000 0.0000 5.9177
Y Au
4 3
direct
0.0000 0.0000 0.2440
0.0000 0.0000 0.7560
0.3333 0.6667 0.5000
0.6667 0.3333 0.5000
0.0000 0.5000 0.0000
0.5000 0.0000 0.0000
0.5000 0.5000 0.0000
```

Properties
Final energy (Ha/atom): -0.20245
N(E_F) (states/eV/atom): 1.069
V (Å³/cell): 171
DFT formation energy (eV per atom): -0.411

=====

Here is a geometry-optimized YAu structure from Alexandria via LeMat-Bulk. Energies are from PBE.

Geometry as POSCAR:
```
YAu
1.0
-4.5045 4.5045 2.4562
4.5045 -4.5045 2.4562
4.5045 4.5045 -2.4562
Y Au
4 4
direct
0.0000 0.2873 0.2873
0.0000 0.7127 0.7127
0.2873 0.0000 0.2873
0.7127 0.0000 0.7127
0.3300 0.3300 0.6600
0.3300 0.6700 0.0000
0.6700 0.3300 0.0000
0.6700 0.6700 0.3400
```

Properties
Final energy (Ha/atom): -0.20390
N(E_F) (states/eV/atom): 0.956
V (Å³/cell): 199
DFT formation energy (eV per atom): -0.678

=====

Here is a geometry-optimized YAu2 structure from Alexandria via LeMat-Bulk. Energies are from PBE.

Geometry as POSCAR:
```
YAu2
1.0
6.8680 0.0000 0.0000
0.0000 6.8680 0.0000
0.0000 0.0000 6.8680
Y Au
4 8
direct
0.0000 0.0000 0.0000
0.0000 0.5000 0.5000
0.5000 0.0000 0.5000
0.5000 0.5000 0.0000
0.1154 0.6154 0.8846
0.1154 0.8846 0.3846
0.3846 0.1154 0.8846
0.3846 0.3846 0.3846
0.6154 0.6154 0.6154
0.6154 0.8846 0.1154
0.8846 0.1154 0.6154
0.8846 0.3846 0.1154
```

Properties
Final energy (Ha/atom): -0.17041
N(E_F) (states/eV/atom): 0.745
V (Å³/cell): 324
DFT formation energy (eV per atom): -0.298

=====

Here is a geometry-optimized Y3Au structure from Alexandria via LeMat-Bulk. Energies are from PBE.

Geometry as POSCAR:
```
Y3Au
1.0
-1.8605 2.6567 5.6743
1.8605 -2.6567 5.6743
1.8605 2.6567 -5.6743
Y Au
3 1
direct
0.0000 0.0000 0.0000
0.2919 0.7919 0.5000
0.7081 0.2081 0.5000
0.5000 0.5000 0.0000
```

Properties
Final energy (Ha/atom): -0.22334
N(E_F) (states/eV/atom): 0.967
V (Å³/cell): 112
DFT formation energy (eV per atom): -0.410